#a
{"formula": "Pm2GdPa", "functional": "PBE-GGA", "state": "optimized geometry", "lattice": [[-3.462, 1.521, 3.236], [-0.866, -4.738, 1.301], [3.478, 0.342, 3.560]], "species": ["Gd", "Pm", "Pm", "Pa"], "frac_coords": [[0.500, 0.000, 0.000], [0.000, 0.500, 0.000], [0.000, 0.000, 0.500], [0.500, 0.500, 0.500]]}

---

#b
{"formula": "Pm2GdPa", "functional": "PBE-GGA", "state": "optimized geometry", "lattice": [[-1.876, 2.120, -1.839], [-2.996, 1.040, 1.157], [3.879, 10.734, 5.321]], "species": ["Pm", "Pa", "Pm", "Gd"], "frac_coords": [[0.086, 0.086, 0.741], [0.000, 0.000, 0.000], [0.914, 0.914, 0.259], [0.500, 0.500, 0.500]]}

---

Stability ranking, top and bottom: #a is the most stable and #b is the least stable.

---

#a
{"formula": "PmGdPa", "functional": "PBE-GGA", "state": "optimized geometry", "lattice": [[-0.520, 3.092, -1.336], [-2.840, 0.324, 1.856], [5.802, 1.471, 5.494]], "species": ["Gd", "Pa", "Pm"], "frac_coords": [[0.320, 0.320, 0.640], [0.668, 0.668, 0.336], [0.012, 0.012, 0.024]]}

---

#b
{"formula": "PmGdPa", "functional": "PBE-GGA", "state": "optimized geometry", "lattice": [[3.451, 0.000, 0.000], [-1.725, 2.989, 0.000], [0.000, 0.000, 8.676]], "species": ["Pm", "Pa", "Gd"], "frac_coords": [[0.333, 0.667, 0.683], [0.000, 0.000, 0.002], [0.667, 0.333, 0.315]]}

---

Stability ranking, top and bottom: #b is the most stable and #a is the least stable.

---

#a
{"formula": "PrGd2Pa", "functional": "PBE-GGA", "state": "optimized geometry", "lattice": [[-4.482, -1.621, -1.439], [1.883, -4.547, -0.742], [-1.072, -1.212, 4.706]], "species": ["Gd", "Gd", "Pr", "Pa"], "frac_coords": [[0.000, 0.000, 0.500], [0.000, 0.500, 0.000], [0.500, 0.000, 0.000], [0.500, 0.500, 0.500]]}

---

#b
{"formula": "PrGd2Pa", "functional": "PBE-GGA", "state": "optimized geometry", "lattice": [[3.444, 0.000, 0.000], [0.000, 3.444, 0.000], [0.000, 0.000, 10.342]], "species": ["Gd", "Pr", "Gd", "Pa"], "frac_coords": [[0.000, 0.000, 0.225], [0.500, 0.500, 0.500], [0.000, 0.000, 0.775], [0.500, 0.500, 0.000]]}

---

Stability ranking, top and bottom: #b is the most stable and #a is the least stable.

---

#a
{"formula": "PrGdPa", "functional": "PBE-GGA", "state": "optimized geometry", "lattice": [[3.466, 0.000, 0.000], [-1.733, 3.002, 0.000], [0.000, 0.000, 8.752]], "species": ["Pa", "Pr", "Gd"], "frac_coords": [[0.000, 0.000, 0.004], [0.333, 0.667, 0.683], [0.667, 0.333, 0.313]]}

---

#b
{"formula": "PrGdPa", "functional": "PBE-GGA", "state": "optimized geometry", "lattice": [[3.418, 0.000, 0.000], [0.000, 3.418, 0.000], [-1.709, -1.709, 7.851]], "species": ["Pa", "Pr", "Gd"], "frac_coords": [[0.331, 0.331, 0.662], [0.988, 0.988, 0.976], [0.681, 0.681, 0.362]]}

---

Stability ranking, top and bottom: #a is the most stable and #b is the least stable.

---

#a
{"formula": "GdPu2Pa", "functional": "PBE-GGA", "state": "optimized geometry", "lattice": [[-3.337, -0.412, 0.112], [-0.009, -0.812, -3.264], [1.187, -9.009, 2.239]], "species": ["Pu", "Pu", "Gd", "Pa"], "frac_coords": [[0.000, 0.000, 0.221], [0.000, 0.000, 0.779], [0.500, 0.500, 0.500], [0.500, 0.500, 0.000]]}

---

#b
{"formula": "GdPu2Pa", "functional": "PBE-GGA", "state": "optimized geometry", "lattice": [[5.322, 0.000, 0.000], [2.661, 4.609, 0.000], [2.661, 1.536, 4.346]], "species": ["Pa", "Gd", "Pu", "Pu"], "frac_coords": [[0.000, 0.000, 0.000], [0.500, 0.500, 0.500], [0.750, 0.750, 0.750], [0.250, 0.250, 0.250]]}

---

Stability ranking, top and bottom: #a is the most stable and #b is the least stable.

---

#a
{"formula": "GdPaRh2", "functional": "PBE-GGA", "state": "optimized geometry", "lattice": [[-1.873, 0.001, 3.438], [-1.062, -3.387, 1.652], [5.028, -1.417, 4.968]], "species": ["Rh", "Rh", "Gd", "Pa"], "frac_coords": [[0.242, 0.242, 0.273], [0.758, 0.758, 0.727], [0.000, 0.000, 0.000], [0.500, 0.500, 0.500]]}

---

#b
{"formula": "GdPaRh2", "functional": "PBE-GGA", "state": "optimized geometry", "lattice": [[-0.759, -2.417, -2.369], [-2.221, -1.476, 2.218], [-5.179, 4.061, -2.485]], "species": ["Rh", "Gd", "Rh", "Pa"], "frac_coords": [[0.000, 0.000, 0.286], [0.500, 0.500, 0.000], [0.000, 0.000, 0.714], [0.500, 0.500, 0.500]]}

---

#c
{"formula": "GdPaRh2", "functional": "PBE-GGA", "state": "optimized geometry", "lattice": [[-0.963, -4.661, 1.115], [2.292, -3.605, -2.375], [3.354, -2.703, 2.311]], "species": ["Gd", "Pa", "Rh", "Rh"], "frac_coords": [[0.500, 0.500, 0.500], [0.000, 0.000, 0.000], [0.750, 0.750, 0.750], [0.250, 0.250, 0.250]]}

---

Stability ranking, top and bottom: #a is the most stable and #c is the least stable.